[1]
The following is a PBEsol calculation of a relaxed structure of HfAlF3, from Alexandria.

```
data_HfAlF3
_symmetry_space_group_name_H-M 'P 1'
_symmetry_Int_Tables_number 1
_cell_length_a 4.074
_cell_length_b 4.074
_cell_length_c 4.074
_cell_angle_alpha 90.00
_cell_angle_beta 90.00
_cell_angle_gamma 90.00
loop_
_symmetry_equiv_pos_as_xyz
'x,y,z'
loop_
_atom_site_label
_atom_site_type_symbol
_atom_site_fract_x
_atom_site_fract_y
_atom_site_fract_z
Hf1 Hf 0.000 0.000 0.000
Al1 Al 0.500 0.500 0.500
F1 F 0.000 0.500 0.500
F2 F 0.500 0.000 0.500
F3 F 0.500 0.500 0.000
```

V	67.6	Å³/cell
raw formation energy	-1.27	eV/atom
E	-5.343	eV/atom

[2]
The following is a PBEsol calculation of a relaxed structure of HfAlIr2F, from Alexandria.

```
data_HfAlIr2F
_symmetry_space_group_name_H-M 'P 1'
_symmetry_Int_Tables_number 1
_cell_length_a 4.477
_cell_length_b 4.477
_cell_length_c 3.910
_cell_angle_alpha 90.00
_cell_angle_beta 90.00
_cell_angle_gamma 90.00
loop_
_symmetry_equiv_pos_as_xyz
'x,y,z'
loop_
_atom_site_label
_atom_site_type_symbol
_atom_site_fract_x
_atom_site_fract_y
_atom_site_fract_z
Hf1 Hf 0.000 0.000 0.000
Al1 Al 0.500 0.500 0.000
Ir1 Ir 0.000 0.500 0.500
Ir2 Ir 0.500 0.000 0.500
F1 F 0.000 0.000 0.500
```

V	78.4	Å³/cell
raw formation energy	0.06	eV/atom
E	-7.174	eV/atom

[3]
The following is a PBEsol calculation of a relaxed structure of HfAlSiF2, from Alexandria.

```
data_HfAlSiF2
_symmetry_space_group_name_H-M 'P 1'
_symmetry_Int_Tables_number 1
_cell_length_a 3.936
_cell_length_b 3.936
_cell_length_c 5.321
_cell_angle_alpha 90.00
_cell_angle_beta 90.00
_cell_angle_gamma 90.00
loop_
_symmetry_equiv_pos_as_xyz
'x,y,z'
loop_
_atom_site_label
_atom_site_type_symbol
_atom_site_fract_x
_atom_site_fract_y
_atom_site_fract_z
Hf1 Hf 0.000 0.000 0.000
Al1 Al 0.500 0.500 0.000
Si1 Si 0.500 0.500 0.500
F1 F 0.000 0.500 0.500
F2 F 0.500 0.000 0.500
```

V	82.5	Å³/cell
raw formation energy	-0.60	eV/atom
E	-5.444	eV/atom

[4]
The following is a PBEsol calculation of a relaxed structure of AlHgF2, from Alexandria.

```
data_AlHgF2
_symmetry_space_group_name_H-M 'P 1'
_symmetry_Int_Tables_number 1
_cell_length_a 8.574
_cell_length_b 8.574
_cell_length_c 8.574
_cell_angle_alpha 20.00
_cell_angle_beta 20.00
_cell_angle_gamma 20.00
loop_
_symmetry_equiv_pos_as_xyz
'x,y,z'
loop_
_atom_site_label
_atom_site_type_symbol
_atom_site_fract_x
_atom_site_fract_y
_atom_site_fract_z
Al1 Al 0.000 0.000 0.000
Hg1 Hg 0.500 0.500 0.500
F1 F 0.068 0.068 0.068
F2 F 0.932 0.932 0.932
```

V	64.5	Å³/cell
raw formation energy	-1.65	eV/atom
E	-3.774	eV/atom